KAlCd PBE-GGA optimized geometry; calculated volume = 28.8 Å³/atom; final energy = -4.839 eV per cell; E above lowest polymorph = 0.157 eV/atom; formation energy from the elements = 305 meV/atom
1.0
3.505 0.000 0.000
-1.753 3.036 0.000
0.000 0.000 8.116
K Al Cd
1 1 1
Direct
0.667 0.333 0.672
0.000 0.000 0.032
0.333 0.667 0.296